Entry 1:
A plane-wave DFT calculation with meta-GGA SCAN was carried out for a PBEsol-optimized structure of Li3InNi. Values from VASP.

Geometry as Quantum ESPRESSO input:
```
&SYSTEM
  ibrav = 0, nat = 5, ntyp = 3
/
ATOMIC_SPECIES
Li 6.94 Li.upf
Ni 58.69 Ni.upf
In 114.82 In.upf
CELL_PARAMETERS angstrom
-1.8451 2.6429 -3.0620
-3.9176 -2.0052 0.6298
-1.0066 2.9596 3.1611
ATOMIC_POSITIONS angstrom
Li -0.9225 1.3214 -1.5310
Li -1.9588 -1.0026 0.3149
Ni 0.0000 0.0000 0.0000
In -3.3846 1.7986 0.3645
Li -0.5033 1.4798 1.5805
```

Summary:
Its calculated formation energy is 23.3 kJ per mole of atoms.


Entry 2:
A plane-wave DFT calculation with meta-GGA SCAN was carried out for a PBEsol-optimized structure of Li2InNi. Values from VASP.

Geometry as Quantum ESPRESSO input:
```
&SYSTEM
  ibrav = 0, nat = 4, ntyp = 3
/
ATOMIC_SPECIES
Li 6.94 Li.upf
Ni 58.69 Ni.upf
In 114.82 In.upf
CELL_PARAMETERS angstrom
-1.7375 0.8415 3.1351
-1.2022 -3.4699 0.2650
3.5430 -1.0559 2.2470
ATOMIC_POSITIONS angstrom
Li -0.6011 -1.7350 0.1325
Ni 0.3016 -1.8422 2.8236
Li -0.8688 0.4207 1.5676
In 1.7715 -0.5280 1.1235
```

Summary:
Its calculated formation energy is -15.0 kJ per mole of atoms.


Entry 3:
A plane-wave DFT calculation with meta-GGA SCAN was carried out for a PBEsol-optimized structure of Li2InNi. Values from VASP.

Geometry as Quantum ESPRESSO input:
```
&SYSTEM
  ibrav = 0, nat = 4, ntyp = 3
/
ATOMIC_SPECIES
Li 6.94 Li.upf
Ni 58.69 Ni.upf
In 114.82 In.upf
CELL_PARAMETERS angstrom
3.6992 0.0000 0.0000
0.0000 3.6992 0.0000
-1.8496 -1.8496 4.2612
ATOMIC_POSITIONS angstrom
Li 0.0000 1.8496 2.1306
Li 1.8496 0.0000 2.1306
Ni 1.8496 1.8496 0.0000
In 0.0000 0.0000 0.0000
```

Summary:
Its calculated formation energy is -15.2 kJ per mole of atoms.


Entry 4:
A plane-wave DFT calculation with meta-GGA SCAN was carried out for a PBEsol-optimized structure of LiInNi4. Values from VASP.

Geometry as Quantum ESPRESSO input:
```
&SYSTEM
  ibrav = 0, nat = 6, ntyp = 3
/
ATOMIC_SPECIES
Ni 58.69 Ni.upf
Li 6.94 Li.upf
In 114.82 In.upf
CELL_PARAMETERS angstrom
4.7291 0.0000 0.0000
2.3645 4.0955 0.0000
2.3645 1.3652 3.8613
ATOMIC_POSITIONS angstrom
Ni 3.5449 2.0467 1.4472
Ni 5.9132 2.0467 1.4472
Li 0.0000 0.0000 0.0000
In 7.0936 4.0955 2.8960
Ni 4.7291 2.7303 3.3809
Ni 4.7291 4.0977 1.4472
```

Summary:
Its calculated formation energy is -6.4 kJ per mole of atoms.


Entry 5:
A plane-wave DFT calculation with meta-GGA SCAN was carried out for a PBEsol-optimized structure of Li2InNi. Values from VASP.

Geometry as Quantum ESPRESSO input:
```
&SYSTEM
  ibrav = 0, nat = 4, ntyp = 3
/
ATOMIC_SPECIES
Li 6.94 Li.upf
In 114.82 In.upf
Ni 58.69 Ni.upf
CELL_PARAMETERS angstrom
3.0950 0.0000 0.0000
0.0000 4.2339 0.0000
-1.5475 -2.1169 4.4660
ATOMIC_POSITIONS angstrom
Li 1.5475 2.1169 2.4246
In 0.0000 2.1169 0.0000
Ni 1.5475 0.0000 0.0000
Li 0.0000 0.0000 2.0415
```

Summary:
Its calculated formation energy is -16.7 kJ per mole of atoms.


Entry 6:
A plane-wave DFT calculation with meta-GGA SCAN was carried out for a PBEsol-optimized structure of LiIn2Ni2. Values from VASP.

Geometry as Quantum ESPRESSO input:
```
&SYSTEM
  ibrav = 0, nat = 10, ntyp = 3
/
ATOMIC_SPECIES
In 114.82 In.upf
Li 6.94 Li.upf
Ni 58.69 Ni.upf
CELL_PARAMETERS angstrom
-2.4499 -0.5440 -1.4790
-3.7095 -0.5438 6.3448
-1.4610 7.2196 -0.2354
ATOMIC_POSITIONS angstrom
In -2.6706 0.7814 4.1364
Li -2.5853 3.3379 3.0547
Ni -4.9489 1.8694 4.6415
In -2.4999 5.8944 1.9730
In -4.0852 4.2910 5.1888
Ni -4.8522 5.6005 3.1089
In -1.0853 2.3848 0.9206
Ni -2.6716 4.2624 -0.0110
Li 0.0000 0.0000 0.0000
Ni -2.7683 0.5313 1.5215
```

Summary:
Its calculated formation energy is -11.9 kJ per mole of atoms.


Entry 7:
A plane-wave DFT calculation with meta-GGA SCAN was carried out for a PBEsol-optimized structure of RbLi2InNi. Values from VASP.

Geometry as Quantum ESPRESSO input:
```
&SYSTEM
  ibrav = 0, nat = 5, ntyp = 4
/
ATOMIC_SPECIES
Rb 85.47 Rb.upf
Li 6.94 Li.upf
In 114.82 In.upf
Ni 58.69 Ni.upf
CELL_PARAMETERS angstrom
-4.0527 1.2497 2.4328
-2.1899 -4.3803 -1.3980
1.8222 -2.2485 4.1906
ATOMIC_POSITIONS angstrom
Rb -2.2102 -2.6895 2.6127
Li -1.0950 -2.1901 -0.6990
In -2.0264 0.6249 1.2164
Li 0.9111 -1.1242 2.0953
Ni 0.0000 0.0000 0.0000
```

Summary:
Its calculated formation energy is 6.8 kJ per mole of atoms.


Entry 8:
A plane-wave DFT calculation with meta-GGA SCAN was carried out for a PBEsol-optimized structure of LiInNi2Sn. Values from VASP.

Geometry as Quantum ESPRESSO input:
```
&SYSTEM
  ibrav = 0, nat = 5, ntyp = 4
/
ATOMIC_SPECIES
Ni 58.69 Ni.upf
In 114.82 In.upf
Sn 118.71 Sn.upf
Li 6.94 Li.upf
CELL_PARAMETERS angstrom
-3.4408 0.6865 3.1645
2.7803 -1.7405 3.4007
1.8843 4.9256 0.9804
ATOMIC_POSITIONS angstrom
Ni -1.7204 0.3432 1.5822
In 0.0000 0.0000 0.0000
Ni 1.3902 -0.8702 1.7003
Sn 0.9422 2.4628 0.4902
Li 0.6119 1.9358 3.7727
```

Summary:
Its calculated formation energy is 84.2 kJ per mole of atoms.


Entry 9:
A plane-wave DFT calculation with meta-GGA SCAN was carried out for a PBEsol-optimized structure of Li5InO4. Values from VASP.

Geometry as Quantum ESPRESSO input:
```
&SYSTEM
  ibrav = 0, nat = 20, ntyp = 3
/
ATOMIC_SPECIES
O 16.00 O.upf
Li 6.94 Li.upf
In 114.82 In.upf
CELL_PARAMETERS angstrom
4.7326 0.0000 0.0000
0.0000 6.4732 0.0000
0.0000 0.0000 6.9143
ATOMIC_POSITIONS angstrom
O 2.5117 4.7827 0.0000
Li 3.5655 4.8049 4.7774
Li 3.5655 4.8049 2.1369
Li 1.1670 4.9049 5.5941
O 2.2209 4.9272 3.4572
Li 3.5655 1.6683 2.1369
Li 3.5655 1.6683 4.7774
Li 1.1670 1.5683 5.5941
In 3.6422 0.0000 0.0000
O 0.0292 0.0000 5.1717
O 2.5117 1.6906 0.0000
Li 1.1670 1.5683 1.3202
O 4.7034 3.2366 5.1998
Li 1.1009 0.0000 3.4572
O 2.2209 1.5461 3.4572
O 4.7034 3.2366 1.7145
Li 1.1670 4.9049 1.3202
O 0.0292 0.0000 1.7426
In 1.0904 3.2366 3.4572
Li 3.6317 3.2366 0.0000
```

Summary:
As for the uncorrected formation energy: -1908 meV per atom.


Entry 10:
A plane-wave DFT calculation with meta-GGA SCAN was carried out for a PBEsol-optimized structure of Li3InO3. Values from VASP.

Geometry as Quantum ESPRESSO input:
```
&SYSTEM
  ibrav = 0, nat = 28, ntyp = 3
/
ATOMIC_SPECIES
Li 6.94 Li.upf
O 16.00 O.upf
In 114.82 In.upf
CELL_PARAMETERS angstrom
-0.0985 4.5399 3.3245
-3.7424 -4.1323 0.7686
6.4515 -4.6309 6.5150
ATOMIC_POSITIONS angstrom
Li 2.5305 -0.5273 4.0748
O 5.4401 -1.0429 8.0894
Li 2.2592 -2.7376 5.0565
O 4.5201 -3.7573 7.0710
In -0.9149 -2.3993 3.2493
O -1.9096 -0.4660 3.5372
O 1.1441 -1.7995 3.7081
O 3.0915 -2.4487 9.4158
O -1.2153 -2.7062 5.4000
O -0.1982 -4.4691 3.1397
In 3.5254 -1.8240 7.3588
Li -0.7682 0.0497 1.9381
O -2.8296 -3.1805 2.5188
O 1.4664 -2.4238 6.9001
In 4.8386 -3.4732 4.8862
Li 0.3513 -1.4857 5.5516
In 1.6129 -1.1577 1.6287
Li 1.4910 0.9938 6.1854
O -0.4810 -1.7746 1.1923
Li -1.9904 1.3690 4.0862
Li 0.1840 2.5490 2.7717
O 2.8087 0.2458 7.4685
O 3.8259 -1.5172 5.2081
Li 3.3787 -4.2730 8.6700
Li 2.4265 -6.7724 7.8364
Li 1.1195 -5.2171 4.4227
Li 4.6009 -5.5923 6.5220
Li 0.0800 -3.6961 6.5333
```

Summary:
As for the uncorrected formation energy: -1954 meV per atom.


V (Å³/cell)
87.9, 58.6, 58.3, 74.8, 58.5, 158.2, 126.8, 119.7, 211.8, 281.8